Record 1
A relaxed NpNiP2 crystal. Source: the Alexandria database, functional GGA-PBE.

The structure in POSCAR format:
```
NpNiP2
1.0
-3.371 -0.176 1.569
-0.973 -2.682 -2.391
5.229 -4.902 6.270
Np P Ni
2 4 2
direct
0.887 0.887 0.773
0.113 0.113 0.227
0.000 0.500 0.000
0.675 0.675 0.351
0.325 0.325 0.649
0.500 0.000 0.000
0.750 0.250 0.500
0.250 0.750 0.500
```

Computed properties:
**Energy**: -8.10 eV per atom
**Crystal system**: tetragonal
**SG**: I4/mmm (139)
**D(E_F)**: 15.54 states/eV/cell
**Formation energy from the elements**: -718 meV per atom


Record 2
A relaxed Np2Ni5P4 crystal. Source: the Alexandria database, functional GGA-PBE.

The structure in POSCAR format:
```
Np2Ni5P4
1.0
5.247 0.000 0.000
2.623 4.842 0.000
2.623 0.000 6.304
P Np Ni
4 2 5
direct
0.781 0.702 0.736
0.517 0.702 0.264
0.219 0.298 0.264
0.483 0.298 0.736
0.855 0.000 0.289
0.145 0.000 0.711
0.500 0.000 0.000
0.000 0.500 0.000
0.750 0.500 0.500
0.500 0.500 0.000
0.250 0.500 0.500
```

Computed properties:
**Energy**: -7.46 eV per atom
**Crystal system**: orthorhombic
**SG**: Fmmm (69)
**D(E_F)**: 19.83 states/eV/cell
**Formation energy from the elements**: -509 meV per atom


Record 3
A relaxed NpNi4P3 crystal. Source: the Alexandria database, functional GGA-PBE.

The structure in POSCAR format:
```
NpNi4P3
1.0
3.762 0.000 0.000
0.000 3.762 0.000
0.000 0.000 7.531
Ni P Np
4 3 1
direct
0.500 0.000 0.829
0.500 0.000 0.171
0.000 0.500 0.829
0.000 0.500 0.171
0.500 0.500 0.657
0.500 0.500 0.343
0.000 0.000 0.000
0.000 0.000 0.500
```

Computed properties:
**Energy**: -7.18 eV per atom
**Crystal system**: tetragonal
**SG**: P4/mmm (123)
**D(E_F)**: 11.59 states/eV/cell
**Formation energy from the elements**: -642 meV per atom


Record 4
A relaxed Np3Ni7P4 crystal. Source: the Alexandria database, functional GGA-PBE.

The structure in POSCAR format:
```
Np3Ni7P4
1.0
-1.957 1.706 -2.750
-6.795 1.287 3.035
-1.142 7.520 2.877
Ni Np P
7 3 4
direct
0.000 0.000 0.000
0.308 0.859 0.525
0.890 0.360 0.859
0.517 0.188 0.778
0.110 0.640 0.141
0.483 0.812 0.222
0.692 0.141 0.475
0.688 0.765 0.858
0.000 0.500 0.500
0.312 0.235 0.142
0.352 0.540 0.756
0.648 0.460 0.244
0.124 0.077 0.675
0.876 0.923 0.325
```

Computed properties:
**Energy**: -7.80 eV per atom
**Crystal system**: monoclinic
**SG**: C2/m (12)
**D(E_F)**: 29.05 states/eV/cell
**Formation energy from the elements**: -590 meV per atom


Record 5
A relaxed Np2Ni2P3 crystal. Source: the Alexandria database, functional GGA-PBE.

The structure in POSCAR format:
```
Np2Ni2P3
1.0
-2.116 -1.279 2.906
5.182 -4.491 1.797
4.319 6.359 3.439
Np P Ni
4 6 4
direct
0.143 0.250 0.285
0.049 0.750 0.098
0.951 0.250 0.902
0.857 0.750 0.715
0.432 0.532 0.863
0.568 0.468 0.137
0.568 0.032 0.137
0.775 0.250 0.551
0.225 0.750 0.449
0.432 0.968 0.863
0.702 0.566 0.404
0.702 0.934 0.404
0.298 0.066 0.596
0.298 0.434 0.596
```

Computed properties:
**Energy**: -8.33 eV per atom
**Crystal system**: orthorhombic
**SG**: Cmcm (63)
**D(E_F)**: 29.53 states/eV/cell
**Formation energy from the elements**: -664 meV per atom


Record 6
A relaxed NpNi5P2 crystal. Source: the Alexandria database, functional GGA-PBE.

The structure in POSCAR format:
```
NpNi5P2
1.0
-2.905 1.608 -1.569
-4.740 -1.591 2.847
-1.878 4.188 3.470
Ni P Np
5 2 1
direct
0.348 0.462 0.841
0.652 0.538 0.159
0.348 0.841 0.462
0.652 0.159 0.538
0.000 0.500 0.500
0.248 0.252 0.252
0.752 0.748 0.748
0.000 0.000 0.000
```

Computed properties:
**Energy**: -7.12 eV per atom
**Crystal system**: orthorhombic
**SG**: Immm (71)
**D(E_F)**: 11.42 states/eV/cell
**Formation energy from the elements**: -533 meV per atom


Record 7
A relaxed Np2Ni12P7 crystal. Source: the Alexandria database, functional GGA-PBE.

The structure in POSCAR format:
```
Np2Ni12P7
1.0
3.678 0.000 0.000
0.000 7.887 -4.553
0.000 0.000 9.107
Ni Np P
12 2 7
direct
0.250 0.432 0.380
0.250 0.947 0.568
0.756 0.888 0.745
0.244 0.745 0.856
0.750 0.053 0.432
0.750 0.380 0.947
0.750 0.568 0.620
0.756 0.856 0.112
0.244 0.112 0.255
0.756 0.255 0.144
0.250 0.620 0.053
0.244 0.144 0.888
0.249 0.333 0.667
0.751 0.667 0.333
0.750 0.293 0.408
0.500 0.000 0.000
0.250 0.707 0.592
0.250 0.408 0.115
0.750 0.115 0.707
0.750 0.592 0.885
0.250 0.885 0.293
```

Computed properties:
**Energy**: -6.97 eV per atom
**Crystal system**: trigonal
**SG**: P-3 (147)
**D(E_F)**: 22.98 states/eV/cell
**Formation energy from the elements**: -627 meV per atom


Record 8
A relaxed Np2NiP4 crystal. Source: the Alexandria database, functional GGA-PBE.

The structure in POSCAR format:
```
Np2NiP4
1.0
3.740 0.000 0.000
0.000 3.740 0.000
0.000 0.000 8.767
P Np Ni
4 2 1
direct
0.000 0.500 0.858
0.500 0.000 0.142
0.500 0.500 0.500
0.000 0.000 0.500
0.000 0.500 0.249
0.500 0.000 0.751
0.500 0.500 0.000
```

Computed properties:
**Energy**: -8.27 eV per atom
**Crystal system**: tetragonal
**SG**: P-4m2 (115)
**D(E_F)**: 13.20 states/eV/cell
**Formation energy from the elements**: -652 meV per atom


Record 9
A relaxed NpNiP2 crystal. Source: the Alexandria database, functional GGA-PBE.

The structure in POSCAR format:
```
NpNiP2
1.0
2.846 0.000 0.000
1.423 2.465 0.000
1.423 0.822 8.944
P Ni Np
2 1 1
direct
0.895 0.895 0.316
0.105 0.105 0.684
0.500 0.500 0.500
0.000 0.000 0.000
```

Computed properties:
**Energy**: -7.33 eV per atom
**Crystal system**: trigonal
**SG**: R-3m (166)
**D(E_F)**: 3.59 states/eV/cell
**Formation energy from the elements**: 59 meV per atom


Record 10
A relaxed NpNi4P2 crystal. Source: the Alexandria database, functional GGA-PBE.

The structure in POSCAR format:
```
NpNi4P2
1.0
-2.290 0.455 2.772
2.484 -5.908 3.021
4.898 3.809 3.421
Ni Np P
8 2 4
direct
0.000 0.089 0.340
0.500 0.411 0.840
0.500 0.589 0.160
0.500 0.840 0.411
0.000 0.911 0.660
0.000 0.340 0.089
0.000 0.660 0.911
0.500 0.160 0.589
0.500 0.000 0.000
0.000 0.500 0.500
0.500 0.282 0.282
0.000 0.782 0.218
0.000 0.218 0.782
0.500 0.718 0.718
```

Computed properties:
**Energy**: -7.32 eV per atom
**Crystal system**: tetragonal
**SG**: P4_2/mnm (136)
**D(E_F)**: 23.94 states/eV/cell
**Formation energy from the elements**: -626 meV per atom


Record 11
A relaxed NpNi3P2 crystal. Source: the Alexandria database, functional GGA-PBE.

The structure in POSCAR format:
```
NpNi3P2
1.0
-1.013 1.944 -2.850
-5.670 3.692 2.265
1.990 6.668 1.574
Np Ni P
2 6 4
direct
0.892 0.108 0.108
0.108 0.892 0.892
0.320 0.497 0.863
0.320 0.863 0.497
0.680 0.503 0.137
0.680 0.137 0.503
0.000 0.645 0.355
0.000 0.355 0.645
0.182 0.318 0.318
0.500 0.800 0.200
0.818 0.682 0.682
0.500 0.200 0.800
```

Computed properties:
**Energy**: -7.33 eV per atom
**Crystal system**: orthorhombic
**SG**: Immm (71)
**D(E_F)**: 12.14 states/eV/cell
**Formation energy from the elements**: -479 meV per atom


Record 12
A relaxed Np2Ni12P3Pd crystal. Source: the Alexandria database, functional GGA-PBE.

The structure in POSCAR format:
```
Np2Ni12P3Pd
1.0
6.029 -1.285 -0.911
1.860 5.877 -0.911
1.860 1.083 5.848
Ni Np P Pd
12 2 3 1
direct
0.664 0.188 0.188
0.812 0.812 0.336
0.812 0.336 0.812
0.188 0.188 0.664
0.362 0.937 0.362
0.937 0.362 0.362
0.362 0.362 0.937
0.638 0.063 0.638
0.638 0.638 0.063
0.336 0.812 0.812
0.063 0.638 0.638
0.188 0.664 0.188
0.404 0.404 0.404
0.596 0.596 0.596
0.500 0.000 0.000
0.000 0.500 0.000
0.000 0.000 0.500
0.000 0.000 0.000
```

Computed properties:
**Energy**: -6.51 eV per atom
**Crystal system**: trigonal
**SG**: R-3m (166)
**D(E_F)**: 15.92 states/eV/cell
**Formation energy from the elements**: -30 meV per atom


> formation energy from the elements of number 11 (NpNi3P2)?

-479 meV per atom


> Which formula does entry 1 have?

NpNiP2


Repeat the third record exactly.
A relaxed NpNi4P3 crystal. Source: the Alexandria database, functional GGA-PBE.

The structure in POSCAR format:
```
NpNi4P3
1.0
3.762 0.000 0.000
0.000 3.762 0.000
0.000 0.000 7.531
Ni P Np
4 3 1
direct
0.500 0.000 0.829
0.500 0.000 0.171
0.000 0.500 0.829
0.000 0.500 0.171
0.500 0.500 0.657
0.500 0.500 0.343
0.000 0.000 0.000
0.000 0.000 0.500
```

Computed properties:
**Energy**: -7.18 eV per atom
**Crystal system**: tetragonal
**SG**: P4/mmm (123)
**D(E_F)**: 11.59 states/eV/cell
**Formation energy from the elements**: -642 meV per atom


> Which value of energy does entry 3 give?

-7.18 eV per atom